{"formula": "NbCr3Br2O6", "functional": "PBE+U", "state": "optimized geometry", "cell": [[5.350, -3.014, 0.000], [5.350, 3.014, 0.000], [-1.200, 0.000, 5.202]], "species": ["Nb", "Cr", "Cr", "Cr", "Br", "Br", "O", "O", "O", "O", "O", "O"], "frac_coords": [[0.000, 0.000, 0.000], [0.000, 0.500, 0.000], [0.500, 0.000, 0.000], [0.500, 0.500, 0.500], [0.294, 0.294, 0.661], [0.706, 0.706, 0.339], [0.185, 0.185, 0.165], [0.187, 0.686, 0.214], [0.314, 0.813, 0.786], [0.686, 0.187, 0.214], [0.813, 0.314, 0.786], [0.815, 0.815, 0.835]], "dft_energy_ev_per_cell": -84.59}